# PBE with a Hubbard U CsCaFeF2, optimized geometry
data_CsCaFeF2
_cell_length_a 5.259
_cell_length_b 5.626
_cell_length_c 5.259
_cell_angle_alpha 90.00
_cell_angle_beta 90.00
_cell_angle_gamma 90.00
_symmetry_space_group_name_H-M 'P 1'
_symmetry_Int_Tables_number 1
_symmetry_space_group_name_Hall 'P 1'
loop_
_atom_site_label
_atom_site_fract_x
_atom_site_fract_y
_atom_site_fract_z
_atom_site_occupancy
Cs1 0.000 0.000 0.000 1
F1 0.000 0.000 0.500 1
F2 0.500 0.000 0.000 1
Fe1 0.000 0.500 0.000 1
Ca1 0.500 0.500 0.500 1
# - Calculated total energy: -15.7 eV per cell
# - M_tot: 3.042 μB/f.u.